Record 1
Here is a relaxed structure of TmZrBi2O6 from the Alexandria database. Energies are from PBE-GGA.

a b c (Å): 5.9063 5.9082 5.9108
angles (deg): 61.15 61.22 61.20
Element x y z (fractional)
Tm1 0.0000 0.0000 0.0000
Zr1 0.5169 0.5170 0.5172
Bi1 0.2899 0.2905 0.2904
Bi2 0.7556 0.7570 0.7550
O1 0.1607 0.3579 0.7043
O2 0.2429 0.8506 0.6420
O3 0.3578 0.7051 0.1612
O4 0.6409 0.2409 0.8512
O5 0.7055 0.1609 0.3573
O6 0.8516 0.6408 0.2437

**Space-group type**: P1



Record 2
Here is a relaxed structure of U2BiO from the Alexandria database. Energies are from PBE-GGA.

a b c (Å): 7.4325 7.4325 7.4325
angles (deg): 29.20 29.20 29.20
Element x y z (fractional)
U1 0.2225 0.2225 0.2225
U2 0.7775 0.7775 0.7775
Bi1 0.0000 0.0000 0.0000
O1 0.5000 0.5000 0.5000

**Space-group type**: R-3m



Record 3
Here is a relaxed structure of U4BiO10 from the Alexandria database. Energies are from PBE-GGA.

a b c (Å): 6.6668 6.6668 6.6668
angles (deg): 99.59 99.59 131.81
Element x y z (fractional)
U1 0.1004 0.3009 0.4013
U2 0.3009 0.8996 0.2005
U3 0.6991 0.1004 0.7995
U4 0.8996 0.6991 0.5987
Bi1 0.5000 0.5000 0.0000
O1 0.0353 0.1418 0.6910
O2 0.1418 0.4508 0.1065
O3 0.2500 0.7500 0.5000
O4 0.3443 0.0353 0.8935
O5 0.4508 0.3443 0.3090
O6 0.5492 0.6557 0.6910
O7 0.6557 0.9647 0.1065
O8 0.7500 0.2500 0.5000
O9 0.8582 0.5492 0.8935
O10 0.9647 0.8582 0.3090

**Space-group type**: I4/m



Record 4
Here is a relaxed structure of UBiO from the Alexandria database. Energies are from PBE-GGA.

a b c (Å): 3.8313 3.8313 5.1093
angles (deg): 90.00 90.00 120.00
Element x y z (fractional)
U1 0.0000 0.0000 0.0000
Bi1 0.3333 0.6667 0.5000
O1 0.6667 0.3333 0.0000

**Space-group type**: P-6m2
**ΔE to the lowest computed polymorph**: 0.0 meV per atom



In order of appearance, E_form (uncorrected) = -2.27 -0.94 -2.93 -1.56 eV per atom.
In order of appearance, uncorrected energy = -7.3181 -8.7979 -9.5073 -8.2654 eV per atom.